BaFeF2 | PBE+U | relaxed Values from VASP.

```
&SYSTEM
  ibrav = 0, nat = 4, ntyp = 3
/
ATOMIC_SPECIES
Fe 55.84 Fe.upf
F 19.00 F.upf
Ba 137.33 Ba.upf
ATOMIC_POSITIONS angstrom
Fe 0.0000 0.0000 10.3221
F 0.0000 0.0000 18.0025
F 0.0000 0.0000 2.6418
Ba 0.0000 0.0000 0.0000
CELL_PARAMETERS angstrom
2.2239 0.0000 6.8814
-1.1119 1.9259 6.8814
-1.1119 -1.9259 6.8814
```

**N(E_F)**: 0.386 states/eV per atom
**SG**: R-3m (166)
**E above lowest polymorph**: 0.425 eV per atom
**ρ**: 4341 kg/m3